1.
## Sc3SbC (PBE)

Data for an optimized crystal structure of Sc3SbC.

extended XYZ file:
```
5
Lattice="-4.3616 0.8221 0.8807 -0.9848 -4.3383 -0.8275 0.6940 -0.9893 4.3606" Properties=species:S:1:pos:R:3 pbc="T T T"
Sc 0.3470 -0.4947 2.1803
Sc -0.4924 -2.1691 -0.4138
Sb -2.3262 -2.2528 2.2069
C 0.0000 0.0000 0.0000
Sc -2.1808 0.4110 0.4404
```

## Properties
Magnetization (μB/f.u.): 0.000
SG: Pm-3m
Formation energy (no corrections) (kJ per mole of atoms): -75
Raw total energy (eV per cell): -36.2



2.
## CsCeZn2Cl8 (PBE)

Data for an optimized crystal structure of CsCeZn2Cl8.

extended XYZ file:
```
12
Lattice="6.6026 0.0000 0.0000 3.3013 5.7180 0.0000 3.3013 1.9060 10.2631" Properties=species:S:1:pos:R:3 pbc="T T T"
Cl 7.6601 1.8934 8.6168
Cl 9.9040 5.7180 5.5638
Cl 7.7355 5.6871 8.6168
Zn 3.3013 1.9060 2.4931
Cl 4.4124 3.8556 8.6168
Cl 8.7929 3.7685 1.6463
Ce 0.0000 0.0000 0.0000
Cl 5.4698 1.9370 1.6463
Cs 6.6026 3.8120 5.1316
Cl 3.3013 1.9060 4.6993
Zn 9.9040 5.7180 7.7700
Cl 5.5452 5.7306 1.6463
```

## Properties
Magnetization (μB/f.u.): 1.000
SG: R-3
Formation energy (no corrections) (kJ per mole of atoms): -159
Raw total energy (eV per cell): -43.8



3.
## Rb2AlCd2 (PBE)

Data for an optimized crystal structure of Rb2AlCd2.

extended XYZ file:
```
10
Lattice="7.5833 0.0000 0.0000 0.0000 7.5833 0.0000 0.0000 0.0000 6.2499" Properties=species:S:1:pos:R:3 pbc="T T T"
Cd 1.1206 2.6710 0.0000
Cd 2.6710 6.4627 0.0000
Al 3.7917 3.7917 0.0000
Al 0.0000 0.0000 0.0000
Cd 4.9123 1.1206 0.0000
Rb 6.2302 2.4386 3.1249
Rb 5.1448 6.2302 3.1249
Rb 1.3531 5.1448 3.1249
Rb 2.4386 1.3531 3.1249
Cd 6.4627 4.9123 0.0000
```

## Properties
Magnetization (μB/f.u.): 0.000
SG: P4/mbm
Raw total energy (eV per cell): -13.7
Formation energy (meV per atom): 133



4.
## ZrFe2BN (PBE)

Data for an optimized crystal structure of ZrFe2BN.

extended XYZ file:
```
5
Lattice="-0.3026 -1.9564 3.0399 2.1176 -3.7480 -2.2014 3.2472 1.1936 1.0914" Properties=species:S:1:pos:R:3 pbc="T T T"
Fe -0.1513 -0.9782 1.5199
Zr 1.0588 -1.8740 -1.1007
Fe 1.6236 0.5968 0.5457
N 2.5311 -2.2554 0.9649
B 0.0000 0.0000 0.0000
```

## Properties
Magnetization (μB/f.u.): 2.913
SG: P4/mmm
Formation energy (no corrections) (kJ per mole of atoms): 38
Raw total energy (eV per cell): -38.5



5.
## Ca3Mg2Al7 (PBE)

Data for an optimized crystal structure of Ca3Mg2Al7.

extended XYZ file:
```
12
Lattice="-1.2327 -4.7556 -2.9009 3.7501 -4.2968 -0.1601 -2.9862 -6.6378 6.5402" Properties=species:S:1:pos:R:3 pbc="T T T"
Mg -2.1310 -9.6401 5.4881
Al -2.6420 -8.0720 3.1346
Al -0.2344 -7.8451 1.7396
Al -0.7348 -10.2573 3.0532
Mg 1.6622 -6.0501 -2.0089
Ca -1.3493 -5.0887 3.3050
Al 2.1733 -7.6182 0.3446
Ca 0.8805 -10.6015 0.1742
Al -0.3609 -7.8516 -1.0494
Al -0.1078 -7.8386 4.5286
Ca 0.0000 0.0000 0.0000
Al 0.2660 -5.4329 0.4260
```

## Properties
Magnetization (μB/f.u.): 0.000
SG: R-3m
Raw total energy (eV per cell): -38.2
Formation energy (meV per atom): -230



6.
## Li2ZrTa (PBE)

Data for an optimized crystal structure of Li2ZrTa.

extended XYZ file:
```
4
Lattice="4.7640 0.0000 0.0000 2.3820 4.1257 0.0000 2.3820 1.3752 3.8898" Properties=species:S:1:pos:R:3 pbc="T T T"
Li 0.0000 0.0000 0.0000
Ta 4.7640 2.7505 1.9449
Zr 7.1459 4.1257 2.9173
Li 2.3820 1.3752 0.9724
```

## Properties
Magnetization (μB/f.u.): 2.458
SG: F-43m
Raw total energy (eV per cell): -21.5
Formation energy (meV per atom): 681



7.
## Li2MgCd (PBE)

Data for an optimized crystal structure of Li2MgCd.

extended XYZ file:
```
4
Lattice="0.0000 3.3427 3.3427 3.3427 0.0000 3.3427 3.3427 3.3427 0.0000" Properties=species:S:1:pos:R:3 pbc="T T T"
Cd 3.3427 3.3427 3.3427
Mg 0.0000 0.0000 0.0000
Li 1.6713 1.6713 1.6713
Li 5.0140 5.0140 5.0140
```

## Properties
Magnetization (μB/f.u.): 0.000
SG: Fm-3m
Raw total energy (eV per cell): -7.0
Formation energy (meV per atom): -176



8.
## MgAg3 (PBE)

Data for an optimized crystal structure of MgAg3.

extended XYZ file:
```
4
Lattice="4.1218 0.0000 0.0000 0.0000 4.1218 0.0000 -2.0609 -2.0609 4.2392" Properties=species:S:1:pos:R:3 pbc="T T T"
Ag 0.0000 2.0609 2.1196
Ag 2.0609 2.0609 0.0000
Ag 2.0609 0.0000 2.1196
Mg 0.0000 0.0000 0.0000
```

## Properties
Magnetization (μB/f.u.): 0.000
SG: I4/mmm
Raw total energy (eV per cell): -10.7
Formation energy (meV per atom): -147